PrNd4Au: relaxed, PBE-GGA.

Unit cell a=5.4858 b=6.6466 c=11.3344 alpha=90.00 beta=104.00 gamma=90.00
With the nearest neighbours (Å) after each atom.
Positions (direct):
Pr 0.8673 0.7144 0.7345  2 Au 3.16
Pr 0.1327 0.2144 0.2655  2 Au 3.16
Au 0.3902 0.4895 0.7804  4 Nd 3.04-3.10, 2 Pr 3.16
Nd 0.2559 0.5962 0.5118  1 Au 3.04
Nd 0.3374 0.0672 0.6747  1 Au 3.04, 1 Nd 3.35
Nd 0.0688 0.7140 0.1375  2 Au 3.42, 6 Nd 3.55-3.77, 2 Pr 3.61
Nd 0.9312 0.2140 0.8625  2 Au 3.42, 6 Nd 3.55-3.77, 2 Pr 3.61
Nd 0.6626 0.5672 0.3253  1 Au 3.04, 1 Nd 3.35
Nd 0.4751 0.8521 0.9502  2 Au 3.05-3.10, 1 Nd 3.35
Nd 0.5249 0.3521 0.0498  2 Au 3.05-3.10, 1 Nd 3.35
Nd 0.7441 0.0962 0.4882  1 Au 3.04
Au 0.6098 0.9895 0.2196  4 Nd 3.04-3.10, 2 Pr 3.16

Computed properties:
SG: No. 36

Pr4NdAu4: relaxed, PBE-GGA.

Unit cell a=6.2525 b=9.4053 c=9.4053 alpha=90.00 beta=90.00 gamma=90.00
With the nearest neighbours (Å) after each atom.
Positions (direct):
Pr 0.4093 0.6929 0.0908  5 Au 2.99-3.21
Au 0.6016 0.2178 0.6171  1 Nd 2.94, 5 Pr 2.99-3.21, 1 Au 3.17
Au 0.1016 0.1171 0.2822  1 Nd 2.94, 5 Pr 2.99-3.21, 1 Au 3.17
Au 0.6016 0.7822 0.3829  1 Nd 2.94, 5 Pr 2.99-3.21, 1 Au 3.17
Au 0.8984 0.2822 0.8829  1 Nd 2.94, 5 Pr 2.99-3.21, 1 Au 3.17
Pr 0.5907 0.0908 0.3071  5 Au 2.99-3.21
Nd 0.0000 0.0000 0.0000  4 Au 2.94
Pr 0.4093 0.3071 0.9092  5 Au 2.99-3.21
Pr 0.9093 0.4092 0.1929  5 Au 2.99-3.21
Au 0.8984 0.7178 0.1171  1 Nd 2.94, 5 Pr 2.99-3.21, 1 Au 3.17
Au 0.3984 0.6171 0.7822  1 Nd 2.94, 5 Pr 2.99-3.21, 1 Au 3.17
Au 0.1016 0.8829 0.7178  1 Nd 2.94, 5 Pr 2.99-3.21, 1 Au 3.17
Au 0.3984 0.3829 0.2178  1 Nd 2.94, 5 Pr 2.99-3.21, 1 Au 3.17
Pr 0.5907 0.9092 0.6929  5 Au 2.99-3.21
Pr 0.0907 0.1929 0.5908  5 Au 2.99-3.21
Pr 0.9093 0.5908 0.8071  5 Au 2.99-3.21
Nd 0.5000 0.5000 0.5000  4 Au 2.94
Pr 0.0907 0.8071 0.4092  5 Au 2.99-3.21

Computed properties:
SG: No. 86

Pr3NdAu4: relaxed, PBE-GGA.

Unit cell a=5.2706 b=5.2702 c=8.3960 alpha=108.39 beta=108.38 gamma=89.76
With the nearest neighbours (Å) after each atom.
Positions (direct):
Au 0.6238 0.6237 0.2476  2 Nd 3.23, 6 Pr 3.23-3.25
Au 0.3762 0.3763 0.7524  2 Nd 3.23, 6 Pr 3.23-3.25
Pr 0.7496 0.2495 0.4991  8 Au 3.24-3.25
Nd 0.5000 0.0000 0.0000  8 Au 3.23
Au 0.1238 0.1239 0.2475  6 Pr 3.23-3.25, 2 Nd 3.23
Pr 0.0000 0.5000 0.0000  8 Au 3.23
Au 0.8762 0.8761 0.7525  6 Pr 3.23-3.25, 2 Nd 3.23
Pr 0.2504 0.7505 0.5009  8 Au 3.24-3.25

Computed properties:
SG: No. 69

| no. | calculated formation energy (eV/atom) |
| --- | --- |
| 1 | -0.15 |
| 2 | -0.55 |
| 3 | -0.75 |